No. 1
The following is a DFT calculation (GGA-PBE) of USiNiC after structural relaxation. Values from VASP.

Values from the calculation:
Formation energy without anion corrections: -0.4363 eV/atom
ρ: 10.1 g cm⁻³

Quantum ESPRESSO input file:
```
&SYSTEM
  ibrav = 0, nat = 8, ntyp = 4
/
ATOMIC_SPECIES
Si 28.09 Si.upf
Ni 58.69 Ni.upf
C 12.01 C.upf
U 238.03 U.upf
CELL_PARAMETERS angstrom
3.641 0.000 0.000
0.000 3.641 0.000
0.000 0.000 8.369
ATOMIC_POSITIONS angstrom
Si 1.820 0.000 5.526
Si 0.000 1.820 2.843
Ni 1.820 1.820 4.185
Ni 0.000 0.000 4.185
C 1.820 0.000 7.380
C 0.000 1.820 0.989
U 1.820 0.000 1.315
U 0.000 1.820 7.054
```

No. 2
The following is a DFT calculation (GGA-PBE) of Ce2Nd3Se4 after structural relaxation. Values from VASP.

Values from the calculation:
Formation energy without anion corrections: -1.5420 eV/atom
ρ: 6.6 g cm⁻³

Quantum ESPRESSO input file:
```
&SYSTEM
  ibrav = 0, nat = 9, ntyp = 3
/
ATOMIC_SPECIES
Nd 144.24 Nd.upf
Se 78.96 Se.upf
Ce 140.12 Ce.upf
CELL_PARAMETERS angstrom
-3.992 -0.527 1.089
-3.260 -3.316 -5.566
-0.332 -9.035 2.400
ATOMIC_POSITIONS angstrom
Nd -5.431 -9.657 -0.615
Nd 0.000 0.000 0.000
Nd -2.153 -3.221 -1.463
Se -3.991 -9.402 -3.203
Se -3.593 -3.476 1.125
Se -4.702 -3.542 -2.973
Se -2.882 -9.336 0.895
Ce -4.316 -6.474 -2.978
Ce -3.268 -6.404 0.900
```

No. 3
The following is a DFT calculation (GGA-PBE) of LiCuRu after structural relaxation. Values from VASP.

Values from the calculation:
E_form: 0.094 eV/atom
ρ: 7.4 g cm⁻³
Excess energy over the best structure of this formula in the dataset: 0.00 eV/f.u.

Quantum ESPRESSO input file:
```
&SYSTEM
  ibrav = 0, nat = 6, ntyp = 3
/
ATOMIC_SPECIES
Cu 63.55 Cu.upf
Li 6.94 Li.upf
Ru 101.07 Ru.upf
CELL_PARAMETERS angstrom
-2.858 -1.036 -5.889
0.414 -3.521 -5.599
-0.871 -0.552 5.102
ATOMIC_POSITIONS angstrom
Cu -2.247 -3.930 -8.336
Cu -1.068 -1.179 1.951
Li -1.867 -2.688 -1.972
Li -1.448 -2.421 -4.414
Ru -2.681 -4.207 -5.807
Ru -0.634 -0.902 -0.578
```

No. 4
The following is a DFT calculation (GGA-PBE) of GdYHo2 after structural relaxation. Values from VASP.

Values from the calculation:
E_form: 0.024 eV/atom
ρ: 7.6 g cm⁻³
Excess energy over the best structure of this formula in the dataset: 0.00 eV/f.u.

Quantum ESPRESSO input file:
```
&SYSTEM
  ibrav = 0, nat = 4, ntyp = 3
/
ATOMIC_SPECIES
Ho 164.93 Ho.upf
Gd 157.25 Gd.upf
Y 88.91 Y.upf
CELL_PARAMETERS angstrom
-0.946 4.918 -0.327
-4.145 -0.974 -2.657
-2.668 -0.231 4.245
ATOMIC_POSITIONS angstrom
Ho -2.073 -0.487 -1.329
Ho -1.334 -0.116 2.123
Gd -3.879 1.857 0.631
Y -0.473 2.459 -0.163
```

No. 5
The following is a DFT calculation (GGA-PBE) of HfMnS3 after structural relaxation. Values from VASP.

Values from the calculation:
Formation energy without anion corrections: -1.0972 eV/atom
ρ: 4.6 g cm⁻³
Excess energy over the best structure of this formula in the dataset: 0.00 eV/f.u.

Quantum ESPRESSO input file:
```
&SYSTEM
  ibrav = 0, nat = 10, ntyp = 3
/
ATOMIC_SPECIES
S 32.06 S.upf
Mn 54.94 Mn.upf
Hf 178.49 Hf.upf
CELL_PARAMETERS angstrom
-1.204 2.408 2.620
-4.129 -4.260 2.017
7.425 -4.778 5.111
ATOMIC_POSITIONS angstrom
S 0.046 -3.863 6.266
S -0.758 -0.510 2.814
S 2.159 -2.648 3.426
S 2.604 -6.371 7.054
S 3.327 -2.861 6.853
S -1.752 -4.300 3.147
Mn -0.093 -2.769 2.503
Mn 0.625 -5.468 8.007
Hf 1.549 -0.097 3.495
Hf 2.382 -4.634 5.355
```

No. 6
The following is a DFT calculation (GGA-PBE) of ScGaPtRh after structural relaxation. Values from VASP.

Values from the calculation:
E_form: -0.990 eV/atom
ρ: 10.9 g cm⁻³

Quantum ESPRESSO input file:
```
&SYSTEM
  ibrav = 0, nat = 4, ntyp = 4
/
ATOMIC_SPECIES
Rh 102.91 Rh.upf
Ga 69.72 Ga.upf
Sc 44.96 Sc.upf
Pt 195.08 Pt.upf
CELL_PARAMETERS angstrom
4.202 0.000 0.000
0.000 4.202 0.000
-2.101 -2.101 3.563
ATOMIC_POSITIONS angstrom
Rh 0.000 2.101 1.781
Ga 0.000 0.000 3.562
Sc -2.101 2.101 3.562
Pt 2.101 0.000 1.781
```

No. 7
The following is a DFT calculation (GGA-PBE) of Zn6HgRh5 after structural relaxation. Values from VASP.

Values from the calculation:
E_form: -0.340 eV/atom
ρ: 10.7 g cm⁻³

Quantum ESPRESSO input file:
```
&SYSTEM
  ibrav = 0, nat = 12, ntyp = 3
/
ATOMIC_SPECIES
Rh 102.91 Rh.upf
Zn 65.41 Zn.upf
Hg 200.59 Hg.upf
CELL_PARAMETERS angstrom
4.122 0.017 -1.203
-0.857 5.488 -2.858
-0.062 0.319 7.458
ATOMIC_POSITIONS angstrom
Rh 1.039 2.032 3.591
Rh 2.165 3.792 -0.193
Rh 2.552 0.968 1.094
Rh -0.428 2.744 -1.429
Rh 0.652 4.856 2.303
Zn -0.083 5.114 -0.212
Zn 1.440 3.989 -2.674
Zn 2.881 3.308 2.257
Zn 1.826 1.516 -1.386
Zn 0.322 2.517 1.141
Zn 3.287 0.710 3.609
Hg 0.000 0.000 0.000
```

No. 8
The following is a DFT calculation (GGA-PBE) of SrTcRh after structural relaxation. Values from VASP.

Values from the calculation:
E_form: 0.104 eV/atom
ρ: 7.1 g cm⁻³
Excess energy over the best structure of this formula in the dataset: 0.04 eV/f.u.

Quantum ESPRESSO input file:
```
&SYSTEM
  ibrav = 0, nat = 6, ntyp = 3
/
ATOMIC_SPECIES
Rh 102.91 Rh.upf
Tc 98.00 Tc.upf
Sr 87.62 Sr.upf
CELL_PARAMETERS angstrom
7.482 0.025 0.011
2.465 3.528 0.002
-1.662 -4.094 5.118
ATOMIC_POSITIONS angstrom
Rh 1.543 -0.042 2.275
Rh 6.531 -0.896 1.385
Tc -0.953 -3.548 4.939
Tc -0.118 -1.508 3.828
Sr 3.969 0.892 0.646
Sr 4.106 -1.829 3.014
```